(1)
A relaxed structure of ZnCd2Ag. Source: the Alexandria database, functional GGA-PBEsol.

a = 3.247 Å, b = 3.247 Å, c = 6.692 Å
α = 90.00°, β = 90.00°, γ = 90.00°
Space group P4mm (No. 99)
Symmetry-distinct sites (fractional):
Zn  0.000  0.000  0.000 (multiplicity 1)
Cd  0.000  0.000  0.465 (multiplicity 1)
Cd  0.500  0.500  0.752 (multiplicity 1)
Ag  0.500  0.500  0.204 (multiplicity 1)

Raw total energy   -7.3 eV per cell
Formation energy from the elements   0.00 eV per atom
D(E_F)   0.788 states/eV/cell

(2)
A relaxed structure of Li3NbNi3O8. Source: the Alexandria database, functional GGA-PBEsol.

a = 10.095 Å, b = 5.772 Å, c = 5.767 Å
α = 90.00°, β = 123.09°, γ = 90.00°
Space group C2/m (No. 12)
Symmetry-distinct sites (fractional):
Li  0.000  0.000  0.000 (multiplicity 2)
Li  0.250  0.250  0.000 (multiplicity 4)
Nb  0.000  0.500  0.500 (multiplicity 2)
Ni  0.000  0.000  0.500 (multiplicity 2)
Ni  0.250  0.250  0.500 (multiplicity 4)
O  0.003  0.239  0.269 (multiplicity 8)
O  0.223  0.000  0.697 (multiplicity 4)
O  0.239  0.500  0.740 (multiplicity 4)

Formation energy from raw total energies   -1.54 eV per atom
Raw total energy   -200.7 eV per cell
D(E_F)   11.219 states/eV/cell

(3)
A relaxed structure of SiMo2Pb. Source: the Alexandria database, functional GGA-PBEsol.

a = 3.253 Å, b = 3.253 Å, c = 6.425 Å
α = 90.00°, β = 90.00°, γ = 90.00°
Space group P4mm (No. 99)
Symmetry-distinct sites (fractional):
Si  0.000  0.000  0.000 (multiplicity 1)
Mo  0.000  0.000  0.405 (multiplicity 1)
Mo  0.500  0.500  0.159 (multiplicity 1)
Pb  0.500  0.500  0.684 (multiplicity 1)

Formation energy from raw total energies   0.12 eV per atom
Raw total energy   -32.8 eV per cell
Relative energy among the computed polymorphs   0.000 eV per atom
D(E_F)   1.613 states/eV/cell

(4)
A relaxed structure of CsIn3. Source: the Alexandria database, functional GGA-PBEsol.

a = 7.018 Å, b = 7.018 Å, c = 16.699 Å
α = 90.00°, β = 90.00°, γ = 90.00°
Space group I-4m2 (No. 119)
Symmetry-distinct sites (fractional):
Cs  0.000  0.000  0.000 (multiplicity 2)
Cs  0.000  0.500  0.627 (multiplicity 4)
In  0.000  0.000  0.500 (multiplicity 2)
In  0.000  0.207  0.220 (multiplicity 8)
In  0.000  0.302  0.392 (multiplicity 8)

Raw total energy   -63.3 eV per cell
Formation energy from the elements   -0.16 eV per atom
D(E_F)   2.020 states/eV/cell

(5)
A relaxed structure of Ba7Ga5AgSe15. Source: the Alexandria database, functional GGA-PBEsol.

a = 9.9577 Å, b = 9.9577 Å, c = 18.6201 Å
α = 90.00°, β = 90.00°, γ = 120.00°
Space group P31c (No. 159)
Symmetry-distinct sites (fractional):
Ba  0.0000  0.0000  0.0000 (multiplicity 2)
Ba  0.0258  0.6077  0.1144 (multiplicity 6)
Ba  0.0779  0.3539  0.3050 (multiplicity 6)
Ga  0.0000  0.0000  0.1928 (multiplicity 2)
Ga  0.1089  0.6457  0.9164 (multiplicity 6)
Ga  0.3333  0.6667  0.7435 (multiplicity 2)
Ag  0.3333  0.6667  0.4657 (multiplicity 2)
Se  0.0000  0.0000  0.3227 (multiplicity 2)
Se  0.0093  0.2265  0.1395 (multiplicity 6)
Se  0.1048  0.6690  0.7867 (multiplicity 6)
Se  0.1162  0.4261  0.9653 (multiplicity 6)
Se  0.1248  0.7489  0.4581 (multiplicity 6)
Se  0.3333  0.6667  0.2134 (multiplicity 2)
Se  0.3333  0.6667  0.6183 (multiplicity 2)

Formation energy from raw total energies   -1.33 eV per atom
Raw total energy   -260.0 eV per cell
D(E_F)   0.000 states/eV/cell

(6)
A relaxed structure of Sr2LaAg2. Source: the Alexandria database, functional GGA-PBEsol.

a = 8.155 Å, b = 8.155 Å, c = 4.712 Å
α = 90.00°, β = 90.00°, γ = 90.00°
Space group P4/mbm (No. 127)
Symmetry-distinct sites (fractional):
Sr  0.169  0.331  0.000 (multiplicity 4)
La  0.000  0.000  0.500 (multiplicity 2)
Ag  0.124  0.624  0.500 (multiplicity 4)

Raw total energy   -32.8 eV per cell
Formation energy from the elements   -0.15 eV per atom
D(E_F)   9.402 states/eV/cell

(7)
A relaxed structure of EuCuO2. Source: the Alexandria database, functional GGA-PBEsol.

a = 3.6432 Å, b = 3.6432 Å, c = 16.8756 Å
α = 90.00°, β = 90.00°, γ = 120.00°
Space group R-3m (No. 166, hexagonal axes)
Symmetry-distinct sites (fractional):
Eu  0.0000  0.0000  0.0000 (multiplicity 3)
Cu  0.0000  0.0000  0.5000 (multiplicity 3)
O  0.0000  0.0000  0.3948 (multiplicity 6)

Formation energy from raw total energies   -1.97 eV per atom
Raw total energy   -99.9 eV per cell
D(E_F)   14.637 states/eV/cell

(8)
A relaxed structure of TaReW2. Source: the Alexandria database, functional GGA-PBEsol.

a = 5.448 Å, b = 8.921 Å, c = 2.756 Å
α = 90.00°, β = 109.59°, γ = 90.00°
Space group C2/m (No. 12)
Symmetry-distinct sites (fractional):
Ta  0.000  0.000  0.000 (multiplicity 2)
Re  0.000  0.500  0.000 (multiplicity 2)
W  0.250  0.250  0.500 (multiplicity 4)

Raw total energy   -107.7 eV per cell
Relative energy among the computed polymorphs   0.055 eV per atom
Formation energy from the elements   -0.09 eV per atom
D(E_F)   4.320 states/eV/cell

(9)
A relaxed structure of MgZr2Ta. Source: the Alexandria database, functional GGA-PBEsol.

a = 3.627 Å, b = 4.683 Å, c = 9.821 Å
α = 90.00°, β = 90.00°, γ = 90.00°
Space group Cmmm (No. 65)
Symmetry-distinct sites (fractional):
Mg  0.000  0.000  0.000 (multiplicity 2)
Zr  0.000  0.500  0.270 (multiplicity 4)
Ta  0.000  0.000  0.500 (multiplicity 2)

Raw total energy   -64.4 eV per cell
Formation energy from the elements   0.06 eV per atom
D(E_F)   7.902 states/eV/cell

(10)
A relaxed structure of SrTc2PbF. Source: the Alexandria database, functional GGA-PBEsol.

a = 5.067 Å, b = 5.067 Å, c = 6.487 Å
α = 90.00°, β = 90.00°, γ = 90.00°
Space group P4/mmm (No. 123)
Symmetry-distinct sites (fractional):
Sr  0.000  0.000  0.000 (multiplicity 1)
Tc  0.000  0.500  0.500 (multiplicity 2)
Pb  0.000  0.000  0.500 (multiplicity 1)
F  0.500  0.500  0.000 (multiplicity 1)

Formation energy from raw total energies   1.32 eV per atom
Raw total energy   -23.7 eV per cell
D(E_F)   7.045 states/eV/cell

(11)
A relaxed structure of K2AsRh. Source: the Alexandria database, functional GGA-PBEsol.

a = 3.999 Å, b = 4.032 Å, c = 10.336 Å
α = 90.00°, β = 90.00°, γ = 90.00°
Space group Immm (No. 71)
Symmetry-distinct sites (fractional):
K  0.000  0.000  0.248 (multiplicity 4)
As  0.000  0.500  0.000 (multiplicity 2)
Rh  0.000  0.500  0.500 (multiplicity 2)

Raw total energy   -28.3 eV per cell
Formation energy from the elements   0.34 eV per atom
D(E_F)   6.705 states/eV/cell

(12)
A relaxed structure of PS. Source: the Alexandria database, functional GGA-PBEsol.

a = 9.637 Å, b = 8.889 Å, c = 8.563 Å
α = 90.00°, β = 103.86°, γ = 90.00°
Space group C2/c (No. 15)
Symmetry-distinct sites (fractional):
P  0.006  0.198  0.439 (multiplicity 8)
P  0.156  0.386  0.373 (multiplicity 8)
S  0.000  0.043  0.250 (multiplicity 4)
S  0.000  0.459  0.750 (multiplicity 4)
S  0.197  0.292  0.162 (multiplicity 8)

Formation energy from raw total energies   -0.12 eV per atom
Raw total energy   -166.7 eV per cell
D(E_F)   0.000 states/eV/cell

no.,M_tot (μB per formula unit)
1,0.00
2,3.97
3,0.00
4,0.00
5,0.00
6,0.00
7,6.00
8,0.00
9,0.00
10,5.53
11,0.00
12,0.00